Record 1
Li2BrCl: relaxed, PBE.

The structure belongs to space group I-42d (No. 122); the cell edges are 5.7287, 5.7287 and 11.3890 Å and the angles 90.00°, 90.00° and 90.00°. The asymmetric unit holds Li at (0.2275, 0.2500, 0.1250), Br at (0.0000, 0.0000, 0.5000) and Cl at (0.0000, 0.0000, 0.0000).

As for the final energy: -3.52 eV per atom. The density of states at the Fermi level comes out at 0.000 states/eV/cell.

***

Record 2
CeZrGe2Rh5: relaxed, PBE.

The structure belongs to space group P4/mmm (No. 123); the cell edges are 3.9774, 3.9774 and 11.3549 Å and the angles 90.00°, 90.00° and 90.00°. The asymmetric unit holds Ce at (0.0000, 0.0000, 0.0000), Zr at (0.0000, 0.0000, 0.5000), Ge at (0.5000, 0.5000, 0.2130), Rh at (0.0000, 0.5000, 0.3361) and Rh at (0.5000, 0.5000, 0.0000).

The formation energy is -4.3 eV per formula unit. The density of states at the Fermi level comes out at 9.275 states/eV/cell.

***

Record 3
Ac6Co2I: relaxed, PBE.

The structure belongs to space group C2/m (No. 12); the cell edges are 13.7497, 4.2469 and 12.3030 Å and the angles 90.00°, 106.14° and 90.00°. The asymmetric unit holds Ac at (0.0363, 0.0000, 0.2922), Ac at (0.1722, 0.5000, 0.5842), Ac at (0.2116, 0.5000, 0.1254), Co at (0.1786, 0.5000, 0.3392) and I at (0.0000, 0.0000, 0.0000).

As for the final energy: -4.68 eV per atom. The density of states at the Fermi level comes out at 18.868 states/eV/cell.

***

Record 4
Na2LaAsH: relaxed, PBE.

The structure belongs to space group P4/mmm (No. 123); the cell edges are 4.4925, 4.4925 and 5.1470 Å and the angles 90.00°, 90.00° and 90.00°. The asymmetric unit holds Na at (0.0000, 0.5000, 0.0000), La at (0.0000, 0.0000, 0.5000), As at (0.5000, 0.5000, 0.5000) and H at (0.0000, 0.0000, 0.0000).

As for the final energy: -3.64 eV per atom. The density of states at the Fermi level comes out at 2.298 states/eV/cell.

***

Record 5
AcNdSmN3: relaxed, PBE.

The structure belongs to space group P2_1/m (No. 11); the cell edges are 6.3435, 3.7136 and 9.5188 Å and the angles 90.00°, 101.93° and 90.00°. The asymmetric unit holds Ac at (0.1551, 0.2500, 0.1988), Nd at (0.2705, 0.7500, 0.5443), Sm at (0.3521, 0.2500, 0.8583), N at (0.0371, 0.2500, 0.6707), N at (0.2565, 0.7500, 0.9834) and N at (0.4706, 0.7500, 0.3486).

As for the final energy: -7.63 eV per atom.

***

Record 6
ZnFe3As: relaxed, PBE.

The structure belongs to space group Pm-3m (No. 221); the cell edges are 4.3693, 4.3693 and 4.3693 Å and the angles 90.00°, 90.00° and 90.00°. The asymmetric unit holds Zn at (0.0000, 0.0000, 0.0000), Fe at (0.0000, 0.5000, 0.5000) and As at (0.5000, 0.5000, 0.5000).

The formation energy is 3.5 eV per formula unit. The density of states at the Fermi level comes out at 9.349 states/eV/cell.

***

Record 7
Y2TaMn: relaxed, PBE.

The structure belongs to space group P4/mmm (No. 123); the cell edges are 3.2499, 3.2499 and 8.6739 Å and the angles 90.00°, 90.00° and 90.00°. The asymmetric unit holds Y at (0.0000, 0.0000, 0.2389), Ta at (0.5000, 0.5000, 0.5000) and Mn at (0.5000, 0.5000, 0.0000).

The formation energy is 1.6 eV per formula unit. The density of states at the Fermi level comes out at 4.553 states/eV/cell.

***

Record 8
CeScBeTc: relaxed, PBE.

The structure belongs to space group F-43m (No. 216); the cell edges are 6.6754, 6.6754 and 6.6754 Å and the angles 90.00°, 90.00° and 90.00°. The asymmetric unit holds Ce at (0.0000, 0.0000, 0.0000), Sc at (0.0000, 0.0000, 0.5000), Be at (0.2500, 0.2500, 0.2500) and Tc at (0.2500, 0.2500, 0.7500).

The formation energy is 0.0 eV per formula unit. The density of states at the Fermi level comes out at 17.744 states/eV/cell.

***

Record 9
Nd2SmGa3: relaxed, PBE.

The structure belongs to space group P-3m1 (No. 164); the cell edges are 5.1992, 5.1992 and 12.7886 Å and the angles 90.00°, 90.00° and 120.00°. The asymmetric unit holds Nd at (0.0000, 0.0000, 0.0000), Nd at (0.0000, 0.0000, 0.5000), Nd at (0.3333, 0.6667, 0.1680), Sm at (0.3333, 0.6667, 0.6667), Ga at (0.0000, 0.0000, 0.2514), Ga at (0.3333, 0.6667, 0.4173) and Ga at (0.3333, 0.6667, 0.9160).

The formation energy is -3.4 eV per formula unit. The density of states at the Fermi level comes out at 5.668 states/eV/cell.

***

Record 10
In2TePb: relaxed, PBE.

The structure belongs to space group Cm (No. 8); the cell edges are 12.0805, 4.5711 and 4.7797 Å and the angles 90.00°, 108.78° and 90.00°. The asymmetric unit holds In at (0.0000, 0.0000, 0.0000), In at (0.2465, 0.0000, 0.9073), Te at (0.4916, 0.0000, 0.4410) and Pb at (0.2520, 0.5000, 0.4322).

As for the final energy: -3.16 eV per atom. The density of states at the Fermi level comes out at 2.862 states/eV/cell.

***

Record 11
ScV3Pb: relaxed, PBE.

The structure belongs to space group Pm-3m (No. 221); the cell edges are 4.5657, 4.5657 and 4.5657 Å and the angles 90.00°, 90.00° and 90.00°. The asymmetric unit holds Sc at (0.0000, 0.0000, 0.0000), V at (0.0000, 0.0000, 0.5000) and Pb at (0.5000, 0.5000, 0.5000).

The formation energy is 7.4 eV per formula unit. The density of states at the Fermi level comes out at 8.163 states/eV/cell.

***

Record 12
Mg2Rh3W: relaxed, PBE.

The structure belongs to space group P4/mmm (No. 123); the cell edges are 2.9413, 2.9413 and 10.4613 Å and the angles 90.00°, 90.00° and 90.00°. The asymmetric unit holds Mg at (0.0000, 0.0000, 0.1619), Rh at (0.5000, 0.5000, 0.0000), Rh at (0.5000, 0.5000, 0.3339) and W at (0.0000, 0.0000, 0.5000).

The formation energy is -2.2 eV per formula unit. The density of states at the Fermi level comes out at 4.512 states/eV/cell.